1.
Here is a geometry-optimized Zr2AgRh structure from Alexandria. Energies are from PBE-GGA.

Summary:
Crystal system = monoclinic
Calculated formation energy = -0.3483 eV/atom
Magnetic moment = 0.0 μB per formula unit

Lattice parameters (Å, degrees): 3.230 4.541 5.525 90.00 106.58 90.00
Space group Pm (No. 6)
One atom of each set of equivalent atoms:
Zr: 0.000 0.000 0.000 x1
Zr: 0.295 0.500 0.600 x1
Ag: 0.572 0.500 0.145 x1
Rh: 0.742 0.000 0.494 x1

=====

2.
Here is a geometry-optimized Ni2MoRh structure from Alexandria. Energies are from PBE-GGA.

Summary:
Crystal system = tetragonal
Relative energy among the computed polymorphs = 0.096 eV/atom
Calculated formation energy = -0.0336 eV/atom
Magnetic moment = 0.5 μB per formula unit

Lattice parameters (Å, degrees): 3.718 3.718 3.739 90.00 90.00 90.00
Space group P4/mmm (No. 123)
One atom of each set of equivalent atoms:
Ni: 0.000 0.500 0.000 x2
Mo: 0.000 0.000 0.500 x1
Rh: 0.500 0.500 0.500 x1

=====

3.
Here is a geometry-optimized Ho7MgHg4 structure from Alexandria. Energies are from PBE-GGA.

Summary:
Crystal system = monoclinic
Calculated formation energy = -0.1326 eV/atom
Magnetic moment = 0.0 μB per formula unit

Lattice parameters (Å, degrees): 14.515 5.693 9.380 90.00 121.35 90.00
Space group C2/m (No. 12)
One atom of each set of equivalent atoms:
Ho: 0.000 0.000 0.000 x2
Ho: 0.070 0.500 0.409 x4
Ho: 0.195 0.500 0.881 x4
Ho: 0.236 0.000 0.692 x4
Mg: 0.000 0.500 0.000 x2
Hg: 0.040 0.000 0.707 x4
Hg: 0.190 0.000 0.338 x4

=====

4.
Here is a geometry-optimized LiPaZnAu structure from Alexandria. Energies are from PBE-GGA.

Summary:
Crystal system = cubic
Calculated formation energy = -0.1486 eV/atom
Magnetic moment = 0.0 μB per formula unit

Lattice parameters (Å, degrees): 6.839 6.839 6.839 90.00 90.00 90.00
Space group F-43m (No. 216)
One atom of each set of equivalent atoms:
Li: 0.000 0.000 0.000 x4
Pa: 0.000 0.000 0.500 x4
Zn: 0.250 0.250 0.750 x4
Au: 0.250 0.250 0.250 x4

=====

5.
Here is a geometry-optimized Sm3ErGa4 structure from Alexandria. Energies are from PBE-GGA.

Summary:
Crystal system = tetragonal
Relative energy among the computed polymorphs = 0.000 eV/atom
Calculated formation energy = -0.5767 eV/atom
Magnetic moment = 0.0 μB per formula unit

Lattice parameters (Å, degrees): 3.619 3.619 14.514 90.00 90.00 90.00
Space group P4/mmm (No. 123)
One atom of each set of equivalent atoms:
Sm: 0.000 0.000 0.000 x1
Sm: 0.000 0.000 0.255 x2
Er: 0.000 0.000 0.500 x1
Ga: 0.500 0.500 0.128 x2
Ga: 0.500 0.500 0.384 x2

=====

6.
Here is a geometry-optimized MgSc4Tc structure from Alexandria. Energies are from PBE-GGA.

Summary:
Crystal system = tetragonal
Relative energy among the computed polymorphs = 0.000 eV/atom
Calculated formation energy = -0.0827 eV/atom
Magnetic moment = 0.0 μB per formula unit

Lattice parameters (Å, degrees): 3.341 3.341 11.707 90.00 90.00 90.00
Space group P4/mmm (No. 123)
One atom of each set of equivalent atoms:
Mg: 0.000 0.000 0.000 x1
Sc: 0.000 0.000 0.374 x2
Sc: 0.500 0.500 0.174 x2
Tc: 0.500 0.500 0.500 x1